Entry from the Alexandria database: a relaxed structure of MnCdAs2Br (PBE-GGA).

```
5
Lattice="4.640 0.000 0.000 0.000 4.640 0.000 0.000 0.000 5.490" Properties=species:S:1:pos:R:3 pbc="T T T"
As 0.000 2.320 0.000
As 2.320 0.000 0.000
Mn 0.000 0.000 0.000
Cd 2.320 2.320 2.745
Br 0.000 0.000 2.745
```

Computed properties:
polymorph energy (0 for the lowest one): 0 meV per atom
formation energy (no corrections): 0.22 eV per atom
E_tot: -3.9939 eV/atom
density of states at the Fermi level: 3.14 states/eV/f.u.